## RbNpCrF6 (PBE+U)

Data for an optimized crystal structure of RbNpCrF6.

Cell and atoms, written as POSCAR:
```
RbNpCrF6
1.0
-3.8739 3.8838 5.3301
3.8739 -3.8838 5.3301
3.8739 3.8838 -5.3301
Rb Np Cr F
2 2 2 12
direct
0.3391 0.0891 0.2500
0.6609 0.9109 0.7500
0.0000 0.5000 0.5000
0.5000 0.5000 0.0000
0.0000 0.0000 0.5000
0.0000 0.5000 0.0000
0.0586 0.3501 0.1740
0.0586 0.8846 0.7085
0.1150 0.3650 0.7500
0.3239 0.1154 0.6740
0.3239 0.6499 0.2085
0.3748 0.6248 0.7500
0.6252 0.3752 0.2500
0.6761 0.3501 0.7915
0.6761 0.8846 0.3260
0.8850 0.6350 0.2500
0.9414 0.1154 0.2915
0.9414 0.6499 0.8260
```

Summary:
**E**: -6.61 eV per atom
**Symmetry**: No. 74
**N(E_F)**: 0.82 states/eV/atom
**M_tot**: 0.889 μB/atom